(1)
Computed, not measured: crystalline AlPIr at its relaxed geometry at the GGA-PBEsol level of DFT.

Calculated values
- Total energy: -20.79 eV/cell
- ΔH_f (0 K): -0.3615 eV per atom

a = 4.1072 Å, b = 4.1072 Å, c = 2.8404 Å
α = 90.00°, β = 90.00°, γ = 120.00°
Closest atoms and distances in Å follow each position.
Space group P-6m2 (No. 187)
One atom of each set of equivalent atoms:
Al  0.0000  0.0000  0.0000  6 Ir 2.76, 6 P 2.76, 2 Al 2.84
P  0.6667  0.3333  0.5000  3 Ir 2.37
Ir  0.3333  0.6667  0.5000  3 P 2.37

(2)
Computed, not measured: crystalline LuMgCrS4 at its relaxed geometry at the GGA-PBEsol level of DFT.

Calculated values
- Total energy: -175.40 eV/cell
- Formation energy from raw total energies: -1.35 eV per atom

a = 7.3421 Å, b = 7.4656 Å, c = 10.4541 Å
α = 90.00°, β = 90.00°, γ = 90.00°
Closest atoms and distances in Å follow each position.
Space group Imma (No. 74)
One atom of each set of equivalent atoms:
Lu  0.0000  0.0000  0.0000  6 S 2.61-2.65
Mg  0.0000  0.2500  0.3749  4 S 2.41-2.48
Cr  0.2500  0.2500  0.7500  6 S 2.40-2.44
S  0.0000  0.0345  0.7480  2 Cr 2.44, 1 Mg 2.48, 1 Lu 2.65
S  0.2460  0.2500  0.9798  1 Cr 2.40, 1 Mg 2.41, 2 Lu 2.61

(3)
Computed, not measured: crystalline TlFe2Ag at its relaxed geometry at the GGA-PBEsol level of DFT.

Calculated values
- Total energy: -44.16 eV/cell
- ΔH_f (0 K): 0.4472 eV per atom

a = 9.9556 Å, b = 3.0772 Å, c = 4.5009 Å
α = 90.00°, β = 116.78°, γ = 90.00°
Closest atoms and distances in Å follow each position.
Space group Cm (No. 8)
One atom of each set of equivalent atoms:
Tl  0.0000  0.0000  0.0000  8 Fe 2.75-3.07, 4 Ag 2.89-3.01
Fe  0.2664  0.5000  0.2655  2 Fe 2.33
Fe  0.4634  0.0000  0.4635  2 Fe 2.33
Ag  0.2242  0.0000  0.7233  6 Fe 2.75-2.78, 4 Tl 2.89-3.01, 2 Ag 3.08